Entry 1:
A plane-wave DFT calculation with PBEsol was carried out for a relaxed structure of Re3SiSb.

Cell and atoms, written as POSCAR:
```
Re3SiSb
1.0
4.4422 0.0000 0.0000
0.0000 4.4422 0.0000
0.0000 0.0000 4.4422
Re Si Sb
3 1 1
Direct
0.0000 0.0000 0.5000
0.0000 0.5000 0.0000
0.5000 0.0000 0.0000
0.0000 0.0000 0.0000
0.5000 0.5000 0.5000
```

Values from the calculation:
ΔE_f (raw) = 1343 meV per atom
Total moment = 2.0 μB/f.u.
Space group = Pm-3m (221)

Entry 2:
A plane-wave DFT calculation with PBEsol was carried out for a relaxed structure of Mg3Ti2Al18.

Cell and atoms, written as POSCAR:
```
Mg3Ti2Al18
1.0
0.0000 7.3335 7.3335
7.3335 0.0000 7.3335
7.3335 7.3335 0.0000
Mg Ti Al
6 4 36
Direct
0.0000 0.0000 0.0000
0.0000 0.0000 0.5000
0.0000 0.5000 0.0000
0.1250 0.1250 0.1250
0.5000 0.0000 0.0000
0.8750 0.8750 0.8750
0.0000 0.5000 0.5000
0.5000 0.0000 0.5000
0.5000 0.5000 0.0000
0.5000 0.5000 0.5000
0.0569 0.3253 0.3253
0.0569 0.3253 0.7925
0.0569 0.7925 0.3253
0.2075 0.6747 0.6747
0.2075 0.6747 0.9431
0.2075 0.9431 0.6747
0.2366 0.2366 0.5134
0.2366 0.5134 0.2366
0.2366 0.5134 0.5134
0.3253 0.0569 0.3253
0.3253 0.0569 0.7925
0.3253 0.3253 0.0569
0.3253 0.3253 0.7925
0.3253 0.7925 0.0569
0.3253 0.7925 0.3253
0.4866 0.4866 0.7634
0.4866 0.7634 0.4866
0.4866 0.7634 0.7634
0.5134 0.2366 0.2366
0.5134 0.2366 0.5134
0.5134 0.5134 0.2366
0.6747 0.2075 0.6747
0.6747 0.2075 0.9431
0.6747 0.6747 0.2075
0.6747 0.6747 0.9431
0.6747 0.9431 0.2075
0.6747 0.9431 0.6747
0.7634 0.4866 0.4866
0.7634 0.4866 0.7634
0.7634 0.7634 0.4866
0.7925 0.0569 0.3253
0.7925 0.3253 0.0569
0.7925 0.3253 0.3253
0.9431 0.2075 0.6747
0.9431 0.6747 0.2075
0.9431 0.6747 0.6747
```

Values from the calculation:
Energy of formation from the pure elements = -166 meV/atom
Total moment = 0.0 μB/f.u.
Space group = Fd-3m (227)

Entry 3:
A plane-wave DFT calculation with PBEsol was carried out for a relaxed structure of FeReHg.

Cell and atoms, written as POSCAR:
```
FeReHg
1.0
2.7799 0.0000 0.0000
-1.3900 2.4075 0.0000
0.0000 0.0000 6.7288
Fe Re Hg
1 1 1
Direct
0.0000 0.0000 0.0000
0.6667 0.3333 0.2779
0.3333 0.6667 0.6588
```

Values from the calculation:
Energy of formation from the pure elements = 453 meV/atom
Total moment = 1.1 μB/f.u.
Space group = P3m1 (156)

Entry 4:
A plane-wave DFT calculation with PBEsol was carried out for a relaxed structure of CuAsPt.

Cell and atoms, written as POSCAR:
```
CuAsPt
1.0
0.0000 2.8817 2.8817
2.8817 0.0000 2.8817
2.8817 2.8817 0.0000
Cu As Pt
1 1 1
Direct
0.0000 0.0000 0.0000
0.2500 0.2500 0.2500
0.5000 0.5000 0.5000
```

Values from the calculation:
Energy of formation from the pure elements = -1 meV/atom
Total moment = 0.0 μB/f.u.
Space group = F-43m (216)

Entry 5:
A plane-wave DFT calculation with PBEsol was carried out for a relaxed structure of LaTcOs2.

Cell and atoms, written as POSCAR:
```
LaTcOs2
1.0
2.8662 0.0000 0.0000
0.0000 4.3534 0.0000
-0.8391 0.0000 5.6664
La Tc Os
1 1 2
Direct
0.0000 0.0000 0.0000
0.2289 0.5000 0.6567
0.6011 0.5000 0.2682
0.6350 0.0000 0.5076
```

Values from the calculation:
Energy of formation from the pure elements = 502 meV/atom
Total moment = 0.0 μB/f.u.
Space group = Pm (6)

Entry 6:
A plane-wave DFT calculation with PBEsol was carried out for a relaxed structure of NbGa2NiSb.

Cell and atoms, written as POSCAR:
```
NbGa2NiSb
1.0
5.0751 0.0000 0.0000
0.0000 5.0751 0.0000
0.0000 0.0000 4.4658
Nb Ga Ni Sb
1 2 1 1
Direct
0.0000 0.0000 0.0000
0.0000 0.5000 0.5000
0.5000 0.0000 0.5000
0.5000 0.5000 0.0000
0.5000 0.5000 0.5000
```

Values from the calculation:
ΔE_f (raw) = 1291 meV per atom
Total moment = 2.4 μB/f.u.
Space group = P4/mmm (123)

Entry 7:
A plane-wave DFT calculation with PBEsol was carried out for a relaxed structure of Ca4GdB3O10.

Cell and atoms, written as POSCAR:
```
Ca4GdB3O10
1.0
4.0294 -7.9814 0.0000
4.0294 7.9814 0.0000
-0.6842 0.0000 3.4664
Ca Gd B O
4 1 3 10
Direct
0.1125 0.8875 0.0000
0.1949 0.5595 0.6694
0.5595 0.1949 0.6694
0.8875 0.1125 0.0000
0.6406 0.6406 0.3268
0.2664 0.2664 0.6266
0.4967 0.8857 0.2448
0.8857 0.4967 0.2448
0.0215 0.6775 0.4445
0.1047 0.2551 0.5780
0.2551 0.1047 0.5780
0.4032 0.9425 0.0485
0.4102 0.6951 0.2460
0.4417 0.4417 0.7242
0.6775 0.0215 0.4445
0.6951 0.4102 0.2460
0.8143 0.8143 0.9065
0.9425 0.4032 0.0485
```

Values from the calculation:
ΔE_f (raw) = -3011 meV per atom
Total moment = 7.0 μB/f.u.
Space group = Cm (8)

Entry 8:
A plane-wave DFT calculation with PBEsol was carried out for a relaxed structure of BeHg2WN.

Cell and atoms, written as POSCAR:
```
BeHg2WN
1.0
5.1509 0.0000 0.0000
0.0000 5.1509 0.0000
0.0000 0.0000 2.9376
Be Hg W N
1 2 1 1
Direct
0.0000 0.0000 0.0000
0.0000 0.5000 0.5000
0.5000 0.0000 0.5000
0.5000 0.5000 0.0000
0.0000 0.0000 0.5000
```

Values from the calculation:
ΔE_f (raw) = 710 meV per atom
Total moment = 1.5 μB/f.u.
Space group = P4/mmm (123)

Entry 9:
A plane-wave DFT calculation with PBEsol was carried out for a relaxed structure of LiFeF4.

Cell and atoms, written as POSCAR:
```
LiFeF4
1.0
-3.1343 3.1343 3.3494
3.1343 -3.1343 3.3494
3.1343 3.1343 -3.3494
Li Fe F
2 2 8
Direct
0.3750 0.6250 0.7500
0.6250 0.3750 0.2500
0.1250 0.8750 0.2500
0.8750 0.1250 0.7500
0.1815 0.2277 0.5462
0.1815 0.6353 0.9538
0.2277 0.1815 0.0462
0.3647 0.8185 0.5462
0.6353 0.1815 0.4538
0.7723 0.8185 0.9538
0.8185 0.3647 0.0462
0.8185 0.7723 0.4538
```

Values from the calculation:
ΔE_f (raw) = -2329 meV per atom
Total moment = 5.0 μB/f.u.
Space group = I4_1/amd (141)

Entry 10:
A plane-wave DFT calculation with PBEsol was carried out for a relaxed structure of IrRh3.

Cell and atoms, written as POSCAR:
```
IrRh3
1.0
2.6812 0.0000 0.0000
0.0000 3.7869 0.0000
0.0000 0.0000 5.3566
Ir Rh
1 3
Direct
0.0000 0.0000 0.0000
0.0000 0.0000 0.5000
0.5000 0.5000 0.2490
0.5000 0.5000 0.7510
```

Values from the calculation:
Energy of formation from the pure elements = -18 meV/atom
Total moment = 0.0 μB/f.u.
Space group = Pmmm (47)

Entry 11:
A plane-wave DFT calculation with PBEsol was carried out for a relaxed structure of CsLiRu2Au.

Cell and atoms, written as POSCAR:
```
CsLiRu2Au
1.0
4.5430 0.0000 0.0000
0.0000 4.5430 0.0000
0.0000 0.0000 4.5975
Cs Li Ru Au
1 1 2 1
Direct
0.0000 0.0000 0.0000
0.5000 0.5000 0.5000
0.0000 0.5000 0.5000
0.5000 0.0000 0.5000
0.5000 0.5000 0.0000
```

Values from the calculation:
Energy of formation from the pure elements = 1472 meV/atom
Total moment = 3.5 μB/f.u.
Space group = P4/mmm (123)

Entry 12:
A plane-wave DFT calculation with PBEsol was carried out for a relaxed structure of Ag6Ge2O7.

Cell and atoms, written as POSCAR:
```
Ag6Ge2O7
1.0
5.3941 0.0000 0.0000
0.0000 10.0579 0.0000
-0.1395 0.0000 15.7379
Ag Ge O
24 8 28
Direct
0.1749 0.0000 0.4481
0.1812 0.9493 0.9948
0.1807 0.9980 0.1905
0.1914 0.2173 0.8283
0.2044 0.7455 0.2976
0.2045 0.7155 0.8060
0.2113 0.5513 0.4291
0.2131 0.7165 0.5812
0.2194 0.2067 0.3194
0.2300 0.0096 0.6490
0.2476 0.5000 0.9123
0.3195 0.6911 0.0709
0.6805 0.1911 0.9291
0.7524 0.0000 0.0877
0.7700 0.5096 0.3510
0.7806 0.7067 0.6806
0.7869 0.2165 0.4188
0.7887 0.0513 0.5709
0.7955 0.2155 0.1940
0.7956 0.2455 0.7024
0.8086 0.7173 0.1717
0.8188 0.4493 0.0052
0.8193 0.4980 0.8095
0.8251 0.5000 0.5519
0.2077 0.4741 0.2085
0.2614 0.2558 0.0695
0.2801 0.2794 0.5247
0.2935 0.4557 0.6956
0.7065 0.9557 0.3044
0.7199 0.7794 0.4753
0.7386 0.7558 0.9305
0.7923 0.9741 0.7915
0.0163 0.8899 0.7302
0.0357 0.9407 0.3124
0.0478 0.7793 0.4644
0.0527 0.5659 0.1256
0.0641 0.7696 0.9308
0.3495 0.0865 0.0824
0.3768 0.6268 0.6927
0.3841 0.3402 0.4272
0.3881 0.3448 0.1588
0.3885 0.1157 0.5441
0.3969 0.3140 0.9761
0.4127 0.5730 0.2677
0.4163 0.3795 0.7866
0.4278 0.3819 0.6043
0.5722 0.8819 0.3957
0.5837 0.8795 0.2134
0.5873 0.0730 0.7323
0.6031 0.8140 0.0239
0.6115 0.6157 0.4559
0.6119 0.8448 0.8412
0.6159 0.8402 0.5728
0.6232 0.1268 0.3073
0.6505 0.5865 0.9176
0.9359 0.2696 0.0692
0.9473 0.0659 0.8744
0.9522 0.2793 0.5356
0.9643 0.4407 0.6876
0.9837 0.3899 0.2698
```

Values from the calculation:
ΔE_f (raw) = -670 meV per atom
Total moment = 0.0 μB/f.u.
Space group = P2_1 (4)

Entry 13:
A plane-wave DFT calculation with PBEsol was carried out for a relaxed structure of K2Hg.

Cell and atoms, written as POSCAR:
```
K2Hg
1.0
8.1432 0.0000 0.0000
0.0000 8.4247 0.0000
0.0000 0.0000 4.2870
K Hg
4 2
Direct
0.2122 0.1539 0.0000
0.2878 0.6539 0.5000
0.7122 0.3461 0.5000
0.7878 0.8461 0.0000
0.0000 0.5000 0.0000
0.5000 0.0000 0.5000
```

Values from the calculation:
Energy of formation from the pure elements = -63 meV/atom
Total moment = 0.0 μB/f.u.
Space group = Pnnm (58)

Entry 14:
A plane-wave DFT calculation with PBEsol was carried out for a relaxed structure of Zr2AlAu.

Cell and atoms, written as POSCAR:
```
Zr2AlAu
1.0
3.0301 0.0000 0.0000
0.0000 3.0301 0.0000
0.0000 0.0000 8.1456
Zr Al Au
2 1 1
Direct
0.0000 0.0000 0.2493
0.0000 0.0000 0.7507
0.5000 0.5000 0.0000
0.5000 0.5000 0.5000
```

Values from the calculation:
Energy of formation from the pure elements = -525 meV/atom
Total moment = 0.0 μB/f.u.
Space group = P4/mmm (123)

Entry 15:
A plane-wave DFT calculation with PBEsol was carried out for a relaxed structure of CuIr2Cl.

Cell and atoms, written as POSCAR:
```
CuIr2Cl
1.0
2.7906 0.0000 0.0000
0.0000 2.7906 0.0000
0.0000 0.0000 7.4003
Cu Ir Cl
1 2 1
Direct
0.0000 0.0000 0.0000
0.0000 0.0000 0.4700
0.5000 0.5000 0.2363
0.5000 0.5000 0.7379
```

Values from the calculation:
ΔE_f (raw) = 437 meV per atom
Total moment = 0.0 μB/f.u.
Space group = P4mm (99)

Entry 16:
A plane-wave DFT calculation with PBEsol was carried out for a relaxed structure of Cr2CdW.

Cell and atoms, written as POSCAR:
```
Cr2CdW
1.0
2.6657 0.0000 0.0000
0.0000 4.2158 0.0000
-1.1376 0.0000 5.3591
Cr Cd W
2 1 1
Direct
0.2147 0.0000 0.1897
0.7853 0.0000 0.8103
0.0000 0.5000 0.5000
0.5000 0.5000 0.0000
```

Values from the calculation:
Energy of formation from the pure elements = 515 meV/atom
Total moment = 0.0 μB/f.u.
Space group = P2/m (10)

Entry 17:
A plane-wave DFT calculation with PBEsol was carried out for a relaxed structure of Ca2TlP.

Cell and atoms, written as POSCAR:
```
Ca2TlP
1.0
3.6759 0.0000 0.0000
0.0000 3.6759 0.0000
0.0000 0.0000 7.1074
Ca Tl P
2 1 1
Direct
0.0000 0.0000 0.2070
0.0000 0.0000 0.7930
0.5000 0.5000 0.5000
0.5000 0.5000 0.0000
```

Values from the calculation:
Energy of formation from the pure elements = -719 meV/atom
Total moment = 0.0 μB/f.u.
Space group = P4/mmm (123)

Entry 18:
A plane-wave DFT calculation with PBEsol was carried out for a relaxed structure of FeSnRu2C.

Cell and atoms, written as POSCAR:
```
FeSnRu2C
1.0
4.2924 0.0000 0.0000
0.0000 4.2924 0.0000
0.0000 0.0000 4.6503
Fe Sn Ru C
1 1 2 1
Direct
0.0000 0.0000 0.0000
0.0000 0.0000 0.5000
0.0000 0.5000 0.0000
0.5000 0.0000 0.0000
0.5000 0.5000 0.5000
```

Values from the calculation:
Energy of formation from the pure elements = 2266 meV/atom
Total moment = 0.0 μB/f.u.
Space group = P4/mmm (123)

Entry 19:
A plane-wave DFT calculation with PBEsol was carried out for a relaxed structure of KPt.

Cell and atoms, written as POSCAR:
```
KPt
1.0
2.1922 1.2657 8.1705
-2.1922 1.2657 8.1705
0.0000 -2.5313 8.1705
K Pt
2 2
Direct
0.0832 0.0832 0.0832
0.9168 0.9168 0.9168
0.3333 0.3333 0.3333
0.6667 0.6667 0.6667
```

Values from the calculation:
Energy of formation from the pure elements = 4 meV/atom
Total moment = 0.0 μB/f.u.
Space group = R-3m (166)

Entry 20:
A plane-wave DFT calculation with PBEsol was carried out for a relaxed structure of TiMn2GaCo.

Cell and atoms, written as POSCAR:
```
TiMn2GaCo
1.0
4.4046 0.0000 0.0000
0.0000 4.4046 0.0000
0.0000 0.0000 4.1978
Ti Mn Ga Co
1 2 1 1
Direct
0.0000 0.0000 0.0000
0.0000 0.5000 0.5000
0.5000 0.0000 0.5000
0.5000 0.5000 0.0000
0.0000 0.0000 0.5000
```

Values from the calculation:
Energy of formation from the pure elements = 626 meV/atom
Total moment = 6.3 μB/f.u.
Space group = P4/mmm (123)

Entry 21:
A plane-wave DFT calculation with PBEsol was carried out for a relaxed structure of LaCrIn2.

Cell and atoms, written as POSCAR:
```
LaCrIn2
1.0
3.4679 0.0000 0.0000
0.0000 3.4679 0.0000
0.0000 0.0000 7.6643
La Cr In
1 1 2
Direct
0.0000 0.0000 0.0000
0.0000 0.0000 0.5000
0.5000 0.5000 0.2994
0.5000 0.5000 0.7006
```

Values from the calculation:
Energy of formation from the pure elements = -38 meV/atom
Total moment = 3.6 μB/f.u.
Space group = P4/mmm (123)

Entry 22:
A plane-wave DFT calculation with PBEsol was carried out for a relaxed structure of In2PtSe.

Cell and atoms, written as POSCAR:
```
In2PtSe
1.0
1.9066 1.1008 6.8492
-1.9066 1.1008 6.8492
0.0000 -2.2016 6.8492
In Pt Se
2 1 1
Direct
0.2431 0.2431 0.2431
0.7569 0.7569 0.7569
0.5000 0.5000 0.5000
0.0000 0.0000 0.0000
```

Values from the calculation:
ΔE_f (raw) = -329 meV per atom
Total moment = 0.0 μB/f.u.
Space group = R-3m (166)